No. 1
Compound: Cs2PtBr4Cl2
Source: Alexandria via LeMat-Bulk
Functional: PBE
Structure: relaxed

a b c (Å): 7.749 7.749 7.749
angles (deg): 121.34 121.34 87.69
Positions (direct):
Cs 0.250 0.750 0.500
Cs 0.750 0.250 0.500
Pt 0.000 0.000 0.000
Br 0.234 0.234 0.468
Br 0.234 0.766 0.000
Br 0.766 0.234 0.000
Br 0.766 0.766 0.532
Cl 0.211 0.211 0.000
Cl 0.789 0.789 0.000

Summary:
Total moment (μB/atom): 0.0000
Electronic total energy (eV/atom): -3.1282
Symmetry: I4/mmm


No. 2
Compound: NpHg3Pd12
Source: Alexandria via LeMat-Bulk
Functional: PBE
Structure: relaxed

a b c (Å): 4.085 4.085 16.221
angles (deg): 90.00 90.00 90.00
Positions (direct):
Np 0.000 0.000 0.000
Hg 0.000 0.000 0.254
Hg 0.000 0.000 0.500
Hg 0.000 0.000 0.746
Pd 0.000 0.500 0.124
Pd 0.000 0.500 0.377
Pd 0.000 0.500 0.623
Pd 0.000 0.500 0.876
Pd 0.500 0.000 0.124
Pd 0.500 0.000 0.377
Pd 0.500 0.000 0.623
Pd 0.500 0.000 0.876
Pd 0.500 0.500 0.000
Pd 0.500 0.500 0.251
Pd 0.500 0.500 0.500
Pd 0.500 0.500 0.749

Summary:
Formation energy from the elements (eV per atom): -0.2054
Total moment (μB/atom): 0.1632
Electronic total energy (eV/atom): -4.9654
Symmetry: P4/mmm


No. 3
Compound: Al2In3
Source: Alexandria via LeMat-Bulk
Functional: PBE
Structure: relaxed

a b c (Å): 4.927 4.927 5.905
angles (deg): 90.00 90.00 120.00
Positions (direct):
Al 0.333 0.667 0.362
Al 0.667 0.333 0.638
In 0.000 0.000 0.500
In 0.333 0.667 0.865
In 0.667 0.333 0.135

Summary:
Formation energy from the elements (eV per atom): 0.1788
Total moment (μB/atom): 0.0000
Energy relative to the lowest polymorph listed for this composition (meV per atom): 40
Electronic total energy (eV/atom): -2.9613
Symmetry: P-3m1


No. 4
Compound: NiPt3Rh
Source: Alexandria via LeMat-Bulk
Functional: PBE
Structure: relaxed

a b c (Å): 7.043 7.043 4.556
angles (deg): 108.80 108.80 119.94
Positions (direct):
Ni 0.061 0.939 0.750
Ni 0.939 0.061 0.250
Pt 0.111 0.380 0.996
Pt 0.380 0.111 0.496
Pt 0.438 0.562 0.750
Pt 0.562 0.438 0.250
Pt 0.620 0.889 0.504
Pt 0.889 0.620 0.004
Rh 0.000 0.500 0.500
Rh 0.500 0.000 0.000

Summary:
Formation energy from the elements (eV per atom): 0.0701
Total moment (μB/atom): 0.3117
Energy relative to the lowest polymorph listed for this composition (meV per atom): 35
Electronic total energy (eV/atom): -6.1809
Symmetry: C2/c


No. 5
Compound: TaNb2In
Source: Alexandria via LeMat-Bulk
Functional: PBE
Structure: relaxed

a b c (Å): 2.922 2.922 9.401
angles (deg): 90.05 90.05 107.28
Positions (direct):
Ta 0.000 0.000 0.000
Nb 0.499 0.499 0.241
Nb 0.501 0.501 0.759
In 0.000 0.000 0.500

Summary:
Formation energy from the elements (eV per atom): 0.0239
Total moment (μB/atom): 0.0000
Electronic total energy (eV/atom): -8.6588
Symmetry: C2/m


No. 6
Compound: BaBiOF2
Source: Alexandria via LeMat-Bulk
Functional: PBE
Structure: relaxed

a b c (Å): 4.864 4.864 5.285
angles (deg): 90.00 90.00 90.00
Positions (direct):
Ba 0.000 0.000 0.000
Bi 0.500 0.500 0.500
O 0.000 0.000 0.500
F 0.000 0.500 0.000
F 0.500 0.000 0.000

Summary:
Total moment (μB/atom): 0.1988
Energy relative to the lowest polymorph listed for this composition (meV per atom): 499
Electronic total energy (eV/atom): -4.4471
Symmetry: P4/mmm


No. 7
Compound: HoZnGa2Cu
Source: Alexandria via LeMat-Bulk
Functional: PBE
Structure: relaxed

a b c (Å): 6.006 6.006 6.006
angles (deg): 140.07 140.07 57.75
Positions (direct):
Ho 0.000 0.000 0.000
Zn 0.750 0.250 0.500
Ga 0.384 0.384 0.000
Ga 0.616 0.616 0.000
Cu 0.250 0.750 0.500

Summary:
Formation energy from the elements (eV per atom): -0.4252
Total moment (μB/atom): 0.0000
Electronic total energy (eV/atom): -3.6255
Symmetry: I-4m2


No. 8
Compound: Pu3Si9Ir2
Source: Alexandria via LeMat-Bulk
Functional: PBE
Structure: relaxed

a b c (Å): 7.848 7.848 7.848
angles (deg): 149.99 100.10 87.64
Positions (direct):
Pu 0.000 0.000 0.000
Pu 0.315 0.315 0.000
Pu 0.685 0.685 0.000
Si 0.045 0.668 0.377
Si 0.143 0.869 0.274
Si 0.291 0.668 0.623
Si 0.405 0.131 0.274
Si 0.500 0.000 0.500
Si 0.595 0.869 0.726
Si 0.709 0.332 0.377
Si 0.857 0.131 0.726
Si 0.955 0.332 0.623
Ir 0.271 0.500 0.771
Ir 0.729 0.500 0.229

Summary:
Total moment (μB/atom): 1.1547
Electronic total energy (eV/atom): -8.2619
Symmetry: Immm


Sequential volume output: 35.8 16.9 24.8 15.0 19.2 25.0 17.7 16.6 Å³ per atom